Density functional theory data (GGA-PBE) for a relaxed MgZr3C crystal.

Final energy ... -7.625 eV per atom
Magnetization ... 0.0 Bohr magnetons per cell
ΔE_f ... -0.33 eV per atom
Offset from the most stable computed form ... 0 meV per atom
Crystal system ... cubic

Cell lengths 4.608, 4.608, 4.608 Å; angles 90.00, 90.00, 90.00 degrees
Space group Pm-3m (No. 221)
Asymmetric unit:
Mg (0.000, 0.000, 0.000) x1
Zr (0.000, 0.500, 0.500) x3
C (0.500, 0.500, 0.500) x1

=====

Density functional theory data (GGA-PBE) for a relaxed Tb3PaN4 crystal.

Final energy ... -8.771 eV per atom
Magnetization ... 0.0 Bohr magnetons per cell
Energy relative to the elements, uncorrected ... -1685 meV per atom
Offset from the most stable computed form ... 9 meV per atom
Crystal system ... orthorhombic

Cell lengths 6.992, 9.844, 3.511 Å; angles 90.00, 90.00, 90.00 degrees
Space group Cmmm (No. 65)
Asymmetric unit:
Tb (0.000, 0.000, 0.000) x2
Tb (0.250, 0.250, 0.500) x4
Pa (0.000, 0.500, 0.000) x2
N (0.000, 0.261, 0.000) x4
N (0.239, 0.500, 0.500) x4

=====

Density functional theory data (GGA-PBE) for a relaxed YInCl2 crystal.

Final energy ... -4.249 eV per atom
Magnetization ... 0.0 Bohr magnetons per cell
Energy relative to the elements, uncorrected ... -1025 meV per atom
Offset from the most stable computed form ... 267 meV per atom
Crystal system ... orthorhombic

Cell lengths 3.807, 6.394, 9.824 Å; angles 90.00, 90.00, 90.00 degrees
Space group Cmm2 (No. 35)
Asymmetric unit:
Y (0.000, 0.000, 0.000) x2
In (0.000, 0.500, 0.742) x2
Cl (0.000, 0.000, 0.557) x2
Cl (0.000, 0.500, 0.190) x2

=====

Density functional theory data (GGA-PBE) for a relaxed Co3HPd crystal.

Final energy ... -5.912 eV per atom
Magnetization ... 5.0 Bohr magnetons per cell
Offset from the most stable computed form ... 0 meV per atom
Crystal system ... cubic

Cell lengths 3.689, 3.689, 3.689 Å; angles 90.00, 90.00, 90.00 degrees
Space group Pm-3m (No. 221)
Asymmetric unit:
Co (0.000, 0.000, 0.500) x3
H (0.000, 0.000, 0.000) x1
Pd (0.500, 0.500, 0.500) x1